A plane-wave DFT calculation with PBE-GGA was carried out for a geometry-optimized Pa2TaV structure.

```
Pa2TaV
1.0
-1.823 0.105 -2.364
1.088 -0.450 -2.746
-2.128 -10.673 -0.720
Pa V Ta
2 1 1
Direct
0.090 0.090 0.731
0.910 0.910 0.269
0.500 0.500 0.500
0.000 0.000 0.000
```

Values from the calculation:
space-group type: R-3m, No. 166
formation enthalpy at 0 K: 203 kJ/mol of formula units

---

A plane-wave DFT calculation with PBE-GGA was carried out for a geometry-optimized Y6Bi3C2 structure.

```
Y6Bi3C2
1.0
-3.747 -2.996 0.186
0.897 -0.834 4.643
-6.215 11.671 0.814
Y Bi C
6 3 2
Direct
0.415 0.915 0.830
0.309 0.309 0.619
0.085 0.585 0.170
0.691 0.691 0.381
0.915 0.415 0.830
0.585 0.085 0.170
0.000 0.000 0.000
0.819 0.819 0.638
0.181 0.181 0.362
0.398 0.398 0.796
0.602 0.602 0.204
```

Values from the calculation:
space-group type: I4/mmm, No. 139
formation enthalpy at 0 K: -657 kJ/mol of formula units

---

A plane-wave DFT calculation with PBE-GGA was carried out for a geometry-optimized CaNd2Sn2 structure.

```
CaNd2Sn2
1.0
4.610 0.000 0.000
0.000 8.208 0.000
0.000 0.000 8.208
Sn Ca Nd
4 2 4
Direct
0.000 0.875 0.625
0.000 0.125 0.375
0.000 0.375 0.875
0.000 0.625 0.125
0.000 0.500 0.500
0.000 0.000 0.000
0.500 0.325 0.175
0.500 0.825 0.325
0.500 0.675 0.825
0.500 0.175 0.675
```

Values from the calculation:
space-group type: P4/mbm, No. 127
formation enthalpy at 0 K: -346 kJ/mol of formula units

---

A plane-wave DFT calculation with PBE-GGA was carried out for a geometry-optimized LiZr2FePt structure.

```
LiZr2FePt
1.0
-2.525 -1.774 -4.035
3.412 0.706 -2.445
1.688 -4.685 1.003
Li Zr Fe Pt
1 2 1 1
Direct
0.000 0.500 0.000
0.000 0.000 0.500
0.500 0.000 0.000
0.500 0.500 0.500
0.000 0.000 0.000
```

Values from the calculation:
space-group type: P4/mmm, No. 123
formation enthalpy at 0 K: 313 kJ/mol of formula units

---

A plane-wave DFT calculation with PBE-GGA was carried out for a geometry-optimized CoAs2Pt structure.

```
CoAs2Pt
1.0
0.000 3.138 3.138
3.138 0.000 3.138
3.138 3.138 0.000
Pt Co As
1 1 2
Direct
0.500 0.500 0.500
0.000 0.000 0.000
0.750 0.750 0.750
0.250 0.250 0.250
```

Values from the calculation:
space-group type: Fm-3m, No. 225
formation enthalpy at 0 K: 45 kJ/mol of formula units

---

A plane-wave DFT calculation with PBE-GGA was carried out for a geometry-optimized YCoPb2 structure.

```
YCoPb2
1.0
5.808 0.042 0.000
2.443 5.270 0.000
-4.126 -2.656 3.109
Pb Y Co
2 1 1
Direct
0.000 0.000 0.000
0.250 0.750 0.500
0.500 0.500 0.000
0.750 0.250 0.500
```

Values from the calculation:
space-group type: I-4m2, No. 119
formation enthalpy at 0 K: 41 kJ/mol of formula units